# 1
This record from the Alexandria database describes a crystal of Ba2TcNiW relaxed with PBEsol. The functional is meta-GGA SCAN.

Cell lengths 5.7539, 5.7539, 4.3806 Å; angles 90.00, 90.00, 90.00 degrees
Last column: nearest neighbours and their distance in Å.
Space group P4/mmm (No. 123)
Asymmetric unit:
Ba (0.0000, 0.5000, 0.0000) x2  2 Tc 2.88
Tc (0.0000, 0.0000, 0.0000) x1  2 Ni 2.19
Ni (0.0000, 0.0000, 0.5000) x1  2 Tc 2.19
W (0.5000, 0.5000, 0.5000) x1  8 Ba 3.62

Results
E_form: 1.745 eV/atom
Energy: -2.8120 Ry per atom
V: 29.01 Å³/atom
Magnetization: 4.6 μB/cell

=====

# 2
This record from the Alexandria database describes a crystal of SbPtSN2 relaxed with PBEsol. The functional is meta-GGA SCAN.

Cell lengths 3.8819, 3.8819, 4.9710 Å; angles 90.00, 90.00, 90.00 degrees
Last column: nearest neighbours and their distance in Å.
Space group P4/mmm (No. 123)
Asymmetric unit:
Sb (0.0000, 0.0000, 0.0000) x1  4 S 2.74
Pt (0.5000, 0.5000, 0.5000) x1  4 N 1.94
S (0.5000, 0.5000, 0.0000) x1  2 Pt 2.49, 4 Sb 2.74
N (0.0000, 0.5000, 0.5000) x2  2 Pt 1.94

Results
Raw formation energy: 5.62 eV per formula unit
Energy: -1.9116 Ry per atom
V: 14.98 Å³/atom
Magnetization: 2.0 μB/cell

=====

# 3
This record from the Alexandria database describes a crystal of Ti2H2W relaxed with PBEsol. The functional is meta-GGA SCAN.

Cell lengths 3.1705, 3.1705, 10.2851 Å; angles 90.00, 90.00, 90.00 degrees
Last column: nearest neighbours and their distance in Å.
Space group I4/mmm (No. 139)
Asymmetric unit:
Ti (0.0000, 0.0000, 0.1481) x4  4 H 1.90
H (0.0000, 0.5000, 0.2500) x4  4 Ti 1.90
W (0.0000, 0.0000, 0.5000) x2  8 Ti 2.71, 8 H 3.02

Results
Energy: -1.6172 Ry per atom
V: 10.34 Å³/atom
Magnetization: 0.0 μB/cell

=====

# 4
This record from the Alexandria database describes a crystal of LiHgSb2 relaxed with PBEsol. The functional is meta-GGA SCAN.

Cell lengths 8.0226, 8.0226, 6.0955 Å; angles 90.00, 90.00, 90.00 degrees
Last column: nearest neighbours and their distance in Å.
Space group I-42d (No. 122)
Asymmetric unit:
Li (0.0000, 0.0000, 0.0000) x4  4 Sb 3.02, 2 Hg 3.05
Hg (0.0000, 0.0000, 0.5000) x4  4 Sb 2.85, 2 Li 3.05
Sb (0.2345, 0.7500, 0.6250) x8  2 Hg 2.85, 2 Li 3.02, 2 Sb 3.06

Results
Raw formation energy: -0.19 eV per formula unit
Energy: -2.6692 Ry per atom
V: 24.52 Å³/atom
Magnetization: 0.0 μB/cell

=====

# 5
This record from the Alexandria database describes a crystal of Ta2AgRu relaxed with PBEsol. The functional is meta-GGA SCAN.

Cell lengths 2.8408, 2.8408, 28.0499 Å; angles 90.00, 90.00, 120.00 degrees
Last column: nearest neighbours and their distance in Å.
Space group R-3m (No. 166, hexagonal axes)
Asymmetric unit:
Ta (0.0000, 0.0000, 0.2450) x6  3 Ru 2.74, 6 Ta 2.84, 3 Ag 2.97
Ag (0.0000, 0.0000, 0.0000) x3  6 Ag 2.84, 6 Ta 2.97
Ru (0.0000, 0.0000, 0.5000) x3  6 Ta 2.74, 6 Ru 2.84

Results
E_form: 0.177 eV/atom
Energy: -3.6501 Ry per atom
Energy above the lowest structure with this stoichiometry: 141 meV per atom
V: 16.34 Å³/atom
Magnetization: 0.0 μB/cell

=====

# 6
This record from the Alexandria database describes a crystal of BeRuPt2 relaxed with PBEsol. The functional is meta-GGA SCAN.

Cell lengths 5.3080, 7.4079, 2.6957 Å; angles 90.00, 90.00, 90.00 degrees
Last column: nearest neighbours and their distance in Å.
Space group Cmmm (No. 65)
Asymmetric unit:
Be (0.0000, 0.0000, 0.0000) x2  8 Pt 2.65, 2 Ru 2.65, 2 Be 2.70
Ru (0.0000, 0.5000, 0.0000) x2  8 Pt 2.65, 2 Be 2.65, 2 Ru 2.70
Pt (0.2500, 0.2500, 0.5000) x4  4 Ru 2.65, 4 Be 2.65, 4 Pt 2.65-2.70

Results
E_form: -0.266 eV/atom
Energy: -3.3190 Ry per atom
V: 13.25 Å³/atom
Magnetization: 0.0 μB/cell

=====

# 7
This record from the Alexandria database describes a crystal of TlAsSe2F relaxed with PBEsol. The functional is meta-GGA SCAN.

Cell lengths 5.1725, 5.1725, 3.9974 Å; angles 90.00, 90.00, 90.00 degrees
Last column: nearest neighbours and their distance in Å.
Space group P4/mmm (No. 123)
Asymmetric unit:
Tl (0.0000, 0.0000, 0.0000) x1  8 Se 3.27, 4 As 3.66
As (0.5000, 0.5000, 0.0000) x1  2 F 2.00
Se (0.0000, 0.5000, 0.5000) x2  2 F 2.59
F (0.5000, 0.5000, 0.5000) x1  2 As 2.00

Results
Raw formation energy: 0.81 eV per formula unit
Energy: -1.9908 Ry per atom
Energy above the lowest structure with this stoichiometry: 0 meV per atom
V: 21.39 Å³/atom
Magnetization: 0.0 μB/cell

=====

# 8
This record from the Alexandria database describes a crystal of ScAgN2 relaxed with PBEsol. The functional is meta-GGA SCAN.

Cell lengths 3.2790, 3.2790, 18.1476 Å; angles 90.00, 90.00, 120.00 degrees
Last column: nearest neighbours and their distance in Å.
Space group R-3m (No. 166, hexagonal axes)
Asymmetric unit:
Sc (0.0000, 0.0000, 0.0000) x3  6 N 2.16
Ag (0.0000, 0.0000, 0.5000) x3  2 N 1.98
N (0.0000, 0.0000, 0.3911) x6  1 Ag 1.98, 3 Sc 2.16

Results
Raw formation energy: -0.43 eV per formula unit
Energy: -1.1873 Ry per atom
V: 14.08 Å³/atom
Magnetization: 6.0 μB/cell

=====

# 9
This record from the Alexandria database describes a crystal of KLiTl2 relaxed with PBEsol. The functional is meta-GGA SCAN.

Cell lengths 3.3700, 4.8096, 7.3062 Å; angles 90.00, 91.61, 90.00 degrees
Last column: nearest neighbours and their distance in Å.
Space group Pm (No. 6)
Asymmetric unit:
K (0.0000, 0.0000, 0.0000) x1  2 K 3.37, 5 Tl 3.55-3.73, 2 Li 3.74
Li (0.9686, 0.5000, 0.3923) x1  6 Tl 2.96-3.01
Tl (0.4825, 0.5000, 0.7276) x1  2 Li 2.96-2.99, 2 Tl 3.08
Tl (0.4848, 0.0000, 0.4651) x1  4 Li 2.96-3.01, 2 Tl 3.08

Results
E_form: -0.192 eV/atom
Energy: -2.8702 Ry per atom
Energy above the lowest structure with this stoichiometry: 77 meV per atom
V: 29.59 Å³/atom
Magnetization: 0.0 μB/cell

=====

# 10
This record from the Alexandria database describes a crystal of GaAs3Rh relaxed with PBEsol. The functional is meta-GGA SCAN.

Cell lengths 4.6834, 4.6834, 4.6834 Å; angles 90.00, 90.00, 90.00 degrees
Last column: nearest neighbours and their distance in Å.
Space group Pm-3m (No. 221)
Asymmetric unit:
Ga (0.0000, 0.0000, 0.0000) x1  6 As 2.34
As (0.0000, 0.0000, 0.5000) x3  2 Ga 2.34
Rh (0.5000, 0.5000, 0.5000) x1  12 As 3.31

Results
E_form: 1.111 eV/atom
Energy: -1.5455 Ry per atom
V: 20.55 Å³/atom
Magnetization: 0.0 μB/cell

=====

# 11
This record from the Alexandria database describes a crystal of Lu4CdPd relaxed with PBEsol. The functional is meta-GGA SCAN.

Cell lengths 13.1602, 13.1602, 13.1602 Å; angles 90.00, 90.00, 90.00 degrees
Last column: nearest neighbours and their distance in Å.
Space group F-43m (No. 216)
Asymmetric unit:
Lu (0.0000, 0.0000, 0.1847) x24  2 Cd 3.13, 10 Lu 3.39-3.49, 2 Pd 3.39
Lu (0.0610, 0.2500, 0.2500) x24  2 Pd 2.77
Lu (0.1053, 0.1053, 0.6053) x16  3 Pd 2.76
Cd (0.1677, 0.1677, 0.8323) x16  3 Cd 3.06, 9 Lu 3.13-3.38
Pd (0.1046, 0.1046, 0.3954) x16  6 Lu 2.76-2.77

Results
E_form: -0.570 eV/atom
Energy: -3.5278 Ry per atom
V: 23.74 Å³/atom
Magnetization: 0.0 μB/cell

=====

# 12
This record from the Alexandria database describes a crystal of ZrPt2Cl relaxed with PBEsol. The functional is meta-GGA SCAN.

Cell lengths 3.8604, 3.8604, 8.9231 Å; angles 90.00, 90.00, 90.00 degrees
Last column: nearest neighbours and their distance in Å.
Space group I4/mmm (No. 139)
Asymmetric unit:
Zr (0.0000, 0.0000, 0.0000) x2  4 Cl 2.73, 8 Pt 2.95
Pt (0.0000, 0.5000, 0.2500) x4  4 Pt 2.73, 4 Zr 2.95, 4 Cl 2.95
Cl (0.0000, 0.0000, 0.5000) x2  4 Zr 2.73, 8 Pt 2.95

Results
Raw formation energy: -2.31 eV per formula unit
Energy: -3.3327 Ry per atom
Energy above the lowest structure with this stoichiometry: 124 meV per atom
V: 16.62 Å³/atom
Magnetization: 0.0 μB/cell

=====

# 13
This record from the Alexandria database describes a crystal of PrMgRh relaxed with PBEsol. The functional is meta-GGA SCAN.

Cell lengths 7.1678, 4.1626, 8.6319 Å; angles 90.00, 90.00, 90.00 degrees
Last column: nearest neighbours and their distance in Å.
Space group Pnma (No. 62)
Asymmetric unit:
Pr (0.0376, 0.2500, 0.1791) x4  5 Rh 2.97-3.07, 4 Mg 3.31-3.32
Mg (0.1342, 0.2500, 0.5573) x4  4 Rh 2.74-2.85, 2 Mg 3.00
Rh (0.2483, 0.7500, 0.3733) x4  4 Mg 2.74-2.85, 5 Pr 2.97-3.07

Results
E_form: -0.672 eV/atom
Energy: -2.0601 Ry per atom
V: 21.46 Å³/atom
Magnetization: 0.0 μB/cell

=====

# 14
This record from the Alexandria database describes a crystal of Hf3P3Pd4 relaxed with PBEsol. The functional is meta-GGA SCAN.

Cell lengths 16.2053, 3.7725, 9.8902 Å; angles 90.00, 90.00, 90.00 degrees
Last column: nearest neighbours and their distance in Å.
Space group Pnma (No. 62)
Asymmetric unit:
Hf (0.0477, 0.2500, 0.1170) x4  5 P 2.64-2.75, 5 Pd 2.89-2.94
Hf (0.0606, 0.7500, 0.5884) x4  5 P 2.67-2.69, 5 Pd 2.95-2.98
Hf (0.2398, 0.2500, 0.9774) x4  4 P 2.67-2.78, 3 Pd 2.86-2.99
P (0.0438, 0.7500, 0.3199) x4  4 Pd 2.41-2.49, 3 Hf 2.67-2.69
P (0.1144, 0.7500, 0.9656) x4  4 Pd 2.43-2.47, 2 Hf 2.64
P (0.1771, 0.2500, 0.6114) x4  5 Pd 2.39-2.57, 4 Hf 2.67-2.68
Pd (0.0811, 0.2500, 0.8180) x4  4 P 2.44-2.57
Pd (0.1285, 0.2500, 0.3830) x4  3 P 2.39-2.41
Pd (0.1756, 0.7500, 0.1898) x4  3 P 2.43-2.51
Pd (0.2063, 0.7500, 0.7665) x4  3 P 2.47-2.48

Results
E_form: -1.039 eV/atom
Energy: -2.6511 Ry per atom
V: 15.12 Å³/atom
Magnetization: 0.0 μB/cell

=====

# 15
This record from the Alexandria database describes a crystal of FeCoH18C6N12 relaxed with PBEsol. The functional is meta-GGA SCAN.

Cell lengths 10.8426, 10.8426, 10.7039 Å; angles 90.00, 90.00, 120.00 degrees
Last column: nearest neighbours and their distance in Å.
Space group R-3 (No. 148, hexagonal axes)
Asymmetric unit:
Fe (0.0000, 0.0000, 0.0000) x3  6 C 1.87
Co (0.0000, 0.0000, 0.5000) x3  6 N 1.94
H (0.0314, 0.7915, 0.4355) x18  1 N 1.05
H (0.0382, 0.8844, 0.3103) x18  1 N 1.04
H (0.1061, 0.5576, 0.2926) x18  1 N 1.03
C (0.0265, 0.1519, 0.1013) x18  1 N 1.18
N (0.0142, 0.1526, 0.6053) x18  3 H 1.03-1.05
N (0.0448, 0.2459, 0.1682) x18  1 C 1.18

Results
Energy: -0.5340 Ry per atom
V: 9.56 Å³/atom
Magnetization: 3.0 μB/cell

=====

# 16
This record from the Alexandria database describes a crystal of Hf3BeB relaxed with PBEsol. The functional is meta-GGA SCAN.

Cell lengths 4.4694, 4.4694, 4.4694 Å; angles 90.00, 90.00, 90.00 degrees
Last column: nearest neighbours and their distance in Å.
Space group Pm-3m (No. 221)
Asymmetric unit:
Hf (0.0000, 0.0000, 0.5000) x3  2 B 2.23
Be (0.5000, 0.5000, 0.5000) x1  12 Hf 3.16
B (0.0000, 0.0000, 0.0000) x1  6 Hf 2.23

Results
E_form: 0.009 eV/atom
Energy: -2.9364 Ry per atom
V: 17.86 Å³/atom
Magnetization: 0.0 μB/cell

=====

# 17
This record from the Alexandria database describes a crystal of Ba2Pb relaxed with PBEsol. The functional is meta-GGA SCAN.

Cell lengths 8.4530, 5.7095, 10.6477 Å; angles 90.00, 90.00, 90.00 degrees
Last column: nearest neighbours and their distance in Å.
Space group Pnma (No. 62)
Asymmetric unit:
Ba (0.0185, 0.2500, 0.1863) x4  3 Pb 3.60-3.73
Ba (0.1651, 0.2500, 0.5797) x4  4 Pb 3.47-3.57
Pb (0.2440, 0.2500, 0.8994) x4  7 Ba 3.47-3.73

Results
E_form: -0.755 eV/atom
Energy: -3.8500 Ry per atom
V: 42.82 Å³/atom
Magnetization: 0.0 μB/cell

=====

# 18
This record from the Alexandria database describes a crystal of Li7Ge2 relaxed with PBEsol. The functional is meta-GGA SCAN.

Cell lengths 9.1065, 13.0723, 4.4382 Å; angles 90.00, 90.00, 90.00 degrees
Last column: nearest neighbours and their distance in Å.
Space group Cmmm (No. 65)
Asymmetric unit:
Li (0.0000, 0.0000, 0.0000) x2  4 Ge 2.63, 4 Li 2.68
Li (0.0000, 0.1727, 0.5000) x4  6 Li 2.64-2.77, 4 Ge 2.66-2.95
Li (0.0000, 0.5000, 0.5000) x2  8 Li 2.52-2.66
Li (0.1589, 0.3417, 0.5000) x8  4 Li 2.52-2.65, 3 Ge 2.66-2.68
Li (0.1605, 0.5000, 0.0000) x4  4 Li 2.55-2.66, 4 Ge 2.76-2.79
Li (0.1818, 0.1607, 0.0000) x8  7 Li 2.55-2.77, 1 Ge 2.67
Ge (0.0000, 0.3209, 0.0000) x4  12 Li 2.66-2.95
Ge (0.1546, 0.0000, 0.5000) x4  8 Li 2.63-2.79, 1 Ge 2.82

Results
E_form: -0.329 eV/atom
Energy: -0.4726 Ry per atom
V: 14.68 Å³/atom
Magnetization: 0.0 μB/cell

=====

# 19
This record from the Alexandria database describes a crystal of Sr2LaH2 relaxed with PBEsol. The functional is meta-GGA SCAN.

Cell lengths 3.8497, 3.8497, 18.3391 Å; angles 90.00, 90.00, 90.00 degrees
Last column: nearest neighbours and their distance in Å.
Space group I4/mmm (No. 139)
Asymmetric unit:
Sr (0.0000, 0.0000, 0.1721) x4  4 H 2.40
La (0.0000, 0.0000, 0.5000) x2  4 La 3.85, 8 Sr 4.17
H (0.0000, 0.5000, 0.2500) x4  4 Sr 2.40

Results
Energy: -1.4084 Ry per atom
V: 27.18 Å³/atom
Magnetization: 0.8 μB/cell

=====

# 20
This record from the Alexandria database describes a crystal of Li2CoSiO4 relaxed with PBEsol. The functional is meta-GGA SCAN.

Cell lengths 4.2867, 4.2867, 8.7104 Å; angles 90.00, 90.00, 90.00 degrees
Last column: nearest neighbours and their distance in Å.
Space group I-42m (No. 121)
Asymmetric unit:
Li (0.0000, 0.5000, 0.2500) x4  4 O 1.94
Co (0.0000, 0.0000, 0.0000) x2  4 O 1.96
Si (0.0000, 0.0000, 0.5000) x2  4 O 1.65
O (0.2196, 0.2196, 0.3879) x8  1 Si 1.65

Results
Raw formation energy: -18.89 eV per formula unit
Energy: -0.6975 Ry per atom
Energy above the lowest structure with this stoichiometry: 24 meV per atom
V: 10.00 Å³/atom
Magnetization: 6.0 μB/cell